Material: CuNiMo2
Method: DFT, PBE
State: relaxed

Calculated values
The calculation puts the formation energy at 0.1318 eV per atom. The value obtained for the density is 9.59 g/cm3. The calculated total energy comes out at -7.753 eV per atom. As for the crystal system: monoclinic.

Lattice parameters (Å, degrees): 3.977 2.612 5.843 63.63 90.00 90.00
Sites, in units of the cell vectors:
Cu 0.500 0.750 0.750
Mo 0.000 0.999 0.001
Mo 0.000 0.501 0.499
Ni 0.500 0.250 0.250


Material: CaPrTlI6
Method: DFT, PBE
State: relaxed

Calculated values
For the uncorrected formation energy, the calculation gives -11.83 eV/f.u. The value obtained for the density is 4.41 g/cm3. The calculated total energy comes out at -3.364 eV per atom. As for the crystal system: trigonal.

Lattice parameters (Å, degrees): 8.093 8.093 15.236 90.00 90.00 120.00
Sites, in units of the cell vectors:
I 0.365 0.001 0.131
I 0.001 0.636 0.869
I 0.001 0.365 0.631
I 0.635 0.999 0.869
I 0.364 0.365 0.869
I 0.365 0.364 0.369
I 0.636 0.001 0.369
I 0.635 0.636 0.631
I 0.999 0.364 0.131
I 0.999 0.635 0.369
I 0.364 0.999 0.631
I 0.636 0.635 0.131
Tl 0.000 0.000 0.000
Tl 0.000 0.000 0.500
Pr 0.333 0.667 0.250
Pr 0.667 0.333 0.750
Ca 0.667 0.333 0.250
Ca 0.333 0.667 0.750


Q: What is the calculated total energy in the second record?
A: -3.364 eV per atom


Q: Which of these has the lowest calculated total energy?
A: CuNiMo2


Q: The highest calculated total energy belongs to which entry?
A: CaPrTlI6


Q: Which value of calculated total energy does entry 1 give?
A: -7.753 eV per atom